# LaBeBrN2

Crystalline LaBeBrN2 at its relaxed geometry (GGA-PBE, the Alexandria database).

CIF file:
```
data_LaBeBrN2
_space_group_name_H-M_alt 'P 4/m m m'
_space_group_IT_number 123
_space_group_name_Hall '-P 4 2'
_cell_length_a 4.007
_cell_length_b 4.007
_cell_length_c 4.520
_cell_angle_alpha 90.00
_cell_angle_beta 90.00
_cell_angle_gamma 90.00
loop_
_atom_site_label
_atom_site_type_symbol
_atom_site_fract_x
_atom_site_fract_y
_atom_site_fract_z
La1 La 0.000 0.000 0.000
Be1 Be 0.500 0.500 0.500
Br1 Br 0.500 0.500 0.000
N1 N 0.000 0.500 0.500
```

Computed properties:
total DFT energy (no corrections) = -26.6 eV/f.u.
raw formation energy = 0.08 eV/atom
N(E_F) = 2.53 states/eV per cell
spin magnetization = 0.0 μB/f.u.